[1]
First-principles (GGA-PBE) data for a geometry-optimized ZrAl3Ru structure, as listed in Alexandria via LeMat-Bulk.

Cell and atoms, written as extended XYZ:
```
5
Lattice="4.595 0.000 0.000 0.000 4.595 0.000 0.000 0.000 4.595" Properties=species:S:1:pos:R:3 pbc="T T T"
Ru 0.000 0.000 0.000
Al 0.000 2.298 0.000
Al 0.000 0.000 2.298
Al 2.298 0.000 0.000
Zr 2.298 2.298 2.298
```

Values from the calculation:
DFT formation energy   -4 kJ/mol of formula units
Calculated density   4.68 g cm⁻³
Excess energy over the best structure of this formula in the dataset   576.9 meV per atom
Magnetization   0.0 μB/f.u.
Density of states at the Fermi level   0.8612 states/eV/atom

---

[2]
First-principles (GGA-PBE) data for a geometry-optimized BaSn2F structure, as listed in Alexandria via LeMat-Bulk.

Cell and atoms, written as extended XYZ:
```
4
Lattice="0.000 3.880 3.880 3.880 0.000 3.880 3.880 3.880 0.000" Properties=species:S:1:pos:R:3 pbc="T T T"
F 0.000 0.000 0.000
Ba 3.880 3.880 3.880
Sn 1.940 1.940 1.940
Sn 5.820 5.820 5.820
```

Values from the calculation:
Uncorrected formation energy   -488 meV/atom
Calculated density   5.60 g cm⁻³
Excess energy over the best structure of this formula in the dataset   357.2 meV per atom
Magnetization   0.0 μB/f.u.
Density of states at the Fermi level   0.9918 states/eV/atom

---

[3]
First-principles (GGA-PBE) data for a geometry-optimized Mn2AlNi6 structure, as listed in Alexandria via LeMat-Bulk.

Cell and atoms, written as extended XYZ:
```
9
Lattice="-1.472 4.619 2.399 -4.283 -0.130 -2.378 0.433 -2.140 4.387" Properties=species:S:1:pos:R:3 pbc="T T T"
Mn -3.255 0.907 0.763
Mn -2.067 1.442 3.644
Al -0.736 2.310 1.199
Ni -4.470 2.319 2.875
Ni -4.676 3.338 0.787
Ni -2.685 -1.051 2.489
Ni -2.638 3.400 1.919
Ni -0.646 -0.989 3.621
Ni -0.852 0.030 1.533
```

Values from the calculation:
DFT formation energy   1 kJ/mol of formula units
Calculated density   7.22 g cm⁻³
Magnetization   9.7 μB/f.u.
Density of states at the Fermi level   1.3003 states/eV/atom

---

[4]
First-principles (GGA-PBE) data for a geometry-optimized CdSi structure, as listed in Alexandria via LeMat-Bulk.

Cell and atoms, written as extended XYZ:
```
16
Lattice="-10.018 -2.766 1.744 2.461 -10.079 -1.850 0.775 -0.487 3.682" Properties=species:S:1:pos:R:3 pbc="T T T"
Cd -3.965 -4.279 0.269
Cd -3.592 -8.566 -0.376
Cd -5.900 -6.669 0.361
Cd -1.657 -6.176 -0.467
Cd -7.356 -10.945 2.057
Cd 0.574 -2.387 1.519
Cd 0.727 -10.569 0.405
Cd -7.509 -2.763 3.171
Si -1.101 -8.868 -0.940
Si -6.456 -3.977 0.834
Si -1.291 -3.643 -0.210
Si -6.266 -9.202 0.103
Si -6.953 -5.456 2.698
Si 0.171 -7.876 0.878
Si -4.682 -10.309 1.578
Si -2.100 -3.023 1.998
```

Values from the calculation:
Uncorrected formation energy   381 meV/atom
Calculated density   4.43 g cm⁻³
Magnetization   0.0 μB/f.u.
Density of states at the Fermi level   0.3330 states/eV/atom

---

[5]
First-principles (GGA-PBE) data for a geometry-optimized LaHo3Sc4 structure, as listed in Alexandria via LeMat-Bulk.

Cell and atoms, written as extended XYZ:
```
16
Lattice="5.992 0.000 0.000 0.000 7.001 0.000 0.000 0.000 10.869" Properties=species:S:1:pos:R:3 pbc="T T T"
La 0.826 2.564 0.000
La 3.822 4.436 5.435
Ho 3.842 4.454 0.000
Ho 5.924 4.458 2.728
Ho 2.928 2.542 2.706
Ho 0.846 2.547 5.435
Ho 2.928 2.542 8.163
Ho 5.924 4.458 8.141
Sc 0.903 6.195 0.000
Sc 3.891 0.782 0.000
Sc 5.869 0.808 2.755
Sc 2.873 6.193 2.680
Sc 0.895 6.219 5.435
Sc 3.899 0.806 5.435
Sc 2.873 6.193 8.189
Sc 5.869 0.808 8.114
```

Values from the calculation:
DFT formation energy   32 kJ/mol of formula units
Calculated density   5.93 g cm⁻³
Magnetization   0.0 μB/f.u.
Density of states at the Fermi level   1.7918 states/eV/atom

---

Going through the records in order, we get E_tot values of -5.819 -3.438 -6.307 -2.788 -5.457 eV per atom.